{
  "formula": "VH3F",
  "functional": "PBE+U",
  "state": "optimized geometry",
  "lattice": [[3.457, 0.000, 0.000], [0.000, 3.457, 0.000], [0.000, 0.000, 3.457]],
  "species": ["V", "H", "H", "H", "F"],
  "fractional_positions": [[0.000, 0.000, 0.000], [0.000, 0.000, 0.500], [0.000, 0.500, 0.000], [0.500, 0.000, 0.000], [0.500, 0.500, 0.500]],
  "de_polymorph_mev_per_atom": 0,
  "spacegroup": "No. 221",
  "total_energy_ev_per_cell": -17.57
}